# 1
# SbF | Alexandria via LeMat-Bulk | GGA-PBE | optimized geometry
# Uncorrected formation energy = -1106.0 meV/atom
# Energy = -4.103 eV/atom
# D(E_F) = 0.00 states/eV per cell
# ρ = 3.74 Mg/m³
# Distance to the lowest polymorph of the same formula = 278 meV/atom
data_SbF
_chemical_formula_sum 'Sb4 F4'
_space_group_name_H-M_alt 'P 42/m n m'
_space_group_IT_number 136
_space_group_name_Hall '-P 4n 2n'
_cell_length_a 7.517
_cell_length_b 7.517
_cell_length_c 4.422
_cell_angle_alpha 90.00
_cell_angle_beta 90.00
_cell_angle_gamma 90.00
loop_
_atom_site_label
_atom_site_type_symbol
_atom_site_fract_x
_atom_site_fract_y
_atom_site_fract_z
Sb1 Sb 0.128 0.128 0.000
F1 F 0.129 0.129 0.500


# 2
# SbF | Alexandria via LeMat-Bulk | GGA-PBE | optimized geometry
# Uncorrected formation energy = -1318.6 meV/atom
# Energy = -4.315 eV/atom
# D(E_F) = 2.84 states/eV per cell
# ρ = 5.48 Mg/m³
# Distance to the lowest polymorph of the same formula = 65 meV/atom
data_SbF
_chemical_formula_sum 'Sb8 F8'
_space_group_name_H-M_alt 'P n m a'
_space_group_IT_number 62
_space_group_name_Hall '-P 2ac 2n'
_cell_length_a 8.172
_cell_length_b 5.742
_cell_length_c 7.273
_cell_angle_alpha 90.00
_cell_angle_beta 90.00
_cell_angle_gamma 90.00
loop_
_atom_site_label
_atom_site_type_symbol
_atom_site_fract_x
_atom_site_fract_y
_atom_site_fract_z
Sb1 Sb 0.110 0.250 0.091
Sb2 Sb 0.118 0.750 0.240
F1 F 0.108 0.750 0.769
F2 F 0.158 0.250 0.600


# 3
# SbF | Alexandria via LeMat-Bulk | GGA-PBE | optimized geometry
# Uncorrected formation energy = -379.3 meV/atom
# Energy = -3.376 eV/atom
# D(E_F) = 8.79 states/eV per cell
# ρ = 3.94 Mg/m³
# Distance to the lowest polymorph of the same formula = 1005 meV/atom
data_SbF
_chemical_formula_sum 'Sb6 F6'
_space_group_name_H-M_alt 'P m -3 n'
_space_group_IT_number 223
_space_group_name_Hall '-P 4n 2 3'
_cell_length_a 7.087
_cell_length_b 7.087
_cell_length_c 7.087
_cell_angle_alpha 90.00
_cell_angle_beta 90.00
_cell_angle_gamma 90.00
loop_
_atom_site_label
_atom_site_type_symbol
_atom_site_fract_x
_atom_site_fract_y
_atom_site_fract_z
Sb1 Sb 0.000 0.250 0.500
F1 F 0.000 0.500 0.250


# 4
# SbF | Alexandria via LeMat-Bulk | GGA-PBE | optimized geometry
# Uncorrected formation energy = -1293.6 meV/atom
# Energy = -4.290 eV/atom
# D(E_F) = 1.20 states/eV per cell
# ρ = 5.25 Mg/m³
# Distance to the lowest polymorph of the same formula = 90 meV/atom
data_SbF
_chemical_formula_sum 'Sb6 F6'
_space_group_name_H-M_alt 'P m m n'
_space_group_IT_number 59
_cell_length_a 3.240
_cell_length_b 11.291
_cell_length_c 7.301
_cell_angle_alpha 90.00
_cell_angle_beta 90.00
_cell_angle_gamma 90.00
loop_
_space_group_symop_operation_xyz
'x,y,z'
'-x,-y,-z'
'-x+1/2,-y+1/2,z'
'x+1/2,y+1/2,-z'
'x+1/2,-y,-z'
'-x+1/2,y,z'
'-x,y+1/2,-z'
'x,-y+1/2,z'
loop_
_atom_site_label
_atom_site_type_symbol
_atom_site_fract_x
_atom_site_fract_y
_atom_site_fract_z
Sb1 Sb 0.250 0.084 0.180
Sb2 Sb 0.250 0.750 0.545
F1 F 0.250 0.250 0.010
F2 F 0.250 0.562 0.352


# 5
# SbF5 | Alexandria via LeMat-Bulk | GGA-PBE | optimized geometry
# Uncorrected formation energy = -1870.4 meV/atom
# Energy = -4.117 eV/atom
# ρ = 4.35 Mg/m³
data_SbF5
_chemical_formula_sum 'Sb2 F10'
_space_group_name_H-M_alt 'I m m m'
_space_group_IT_number 71
_space_group_name_Hall '-I 2 2'
_cell_length_a 3.715
_cell_length_b 4.564
_cell_length_c 9.757
_cell_angle_alpha 90.00
_cell_angle_beta 90.00
_cell_angle_gamma 90.00
loop_
_atom_site_label
_atom_site_type_symbol
_atom_site_fract_x
_atom_site_fract_y
_atom_site_fract_z
Sb1 Sb 0.000 0.000 0.000
F1 F 0.000 0.000 0.192
F2 F 0.000 0.265 0.500
F3 F 0.000 0.500 0.000


# 6
# SbF | Alexandria via LeMat-Bulk | GGA-PBE | optimized geometry
# Uncorrected formation energy = -1202.9 meV/atom
# Energy = -4.200 eV/atom
# D(E_F) = 5.54 states/eV per cell
# ρ = 5.31 Mg/m³
# Distance to the lowest polymorph of the same formula = 181 meV/atom
data_SbF
_chemical_formula_sum 'Sb8 F8'
_space_group_name_H-M_alt 'I 4/m m m'
_space_group_IT_number 139
_space_group_name_Hall '-I 4 2'
_cell_length_a 10.073
_cell_length_b 10.073
_cell_length_c 3.473
_cell_angle_alpha 90.00
_cell_angle_beta 90.00
_cell_angle_gamma 90.00
loop_
_atom_site_label
_atom_site_type_symbol
_atom_site_fract_x
_atom_site_fract_y
_atom_site_fract_z
Sb1 Sb 0.000 0.312 0.000
F1 F 0.146 0.146 0.000


# 7
# SbF | Alexandria via LeMat-Bulk | GGA-PBE | optimized geometry
# Uncorrected formation energy = -620.9 meV/atom
# Energy = -3.618 eV/atom
# D(E_F) = 4.07 states/eV per cell
# ρ = 5.93 Mg/m³
# Distance to the lowest polymorph of the same formula = 763 meV/atom
data_SbF
_chemical_formula_sum 'Sb4 F4'
_space_group_name_H-M_alt 'F m -3 m'
_space_group_IT_number 225
_space_group_name_Hall '-F 4 2 3'
_cell_length_a 5.403
_cell_length_b 5.403
_cell_length_c 5.403
_cell_angle_alpha 90.00
_cell_angle_beta 90.00
_cell_angle_gamma 90.00
loop_
_atom_site_label
_atom_site_type_symbol
_atom_site_fract_x
_atom_site_fract_y
_atom_site_fract_z
Sb1 Sb 0.000 0.000 0.000
F1 F 0.000 0.000 0.500


# 8
# SbF2 | Alexandria via LeMat-Bulk | GGA-PBE | optimized geometry
# Uncorrected formation energy = -1949.5 meV/atom
# Energy = -4.571 eV/atom
# ρ = 4.60 Mg/m³
data_SbF2
_chemical_formula_sum 'Sb4 F8'
_space_group_name_H-M_alt 'C 1 2/m 1'
_space_group_IT_number 12
_space_group_name_Hall '-C 2y'
_cell_length_a 8.404
_cell_length_b 4.242
_cell_length_c 6.780
_cell_angle_alpha 90.00
_cell_angle_beta 107.41
_cell_angle_gamma 90.00
loop_
_atom_site_label
_atom_site_type_symbol
_atom_site_fract_x
_atom_site_fract_y
_atom_site_fract_z
Sb1 Sb 0.068 0.000 0.230
F1 F 0.121 0.500 0.209
F2 F 0.195 0.500 0.769